Crystalline PmHo2Er3 at its relaxed geometry. Source: the Alexandria database, functional GGA-PBE.

a b c (Å): 21.8458 3.6177 11.2132
angles (deg): 90.00 120.86 90.00
With the nearest neighbours (Å) after each atom.
Space group C2/m (No. 12)
Unique sites:
Pm: 0.1114 0.0000 0.4860 x4  5 Er 3.48-3.62, 5 Ho 3.52-3.63, 2 Pm 3.62
Ho: 0.0565 0.5000 0.6849 x4  3 Er 3.47-3.49, 4 Pm 3.53-3.63, 5 Ho 3.58-3.62
Ho: 0.2235 0.0000 0.8494 x4  6 Ho 3.47-3.62, 5 Er 3.49-3.59, 1 Pm 3.52
Er: 0.0551 0.5000 0.1772 x4  9 Er 3.43-3.62, 1 Ho 3.49, 2 Pm 3.52
Er: 0.1114 0.0000 0.9872 x4  7 Er 3.47-3.62, 5 Ho 3.47-3.59
Er: 0.2214 0.0000 0.3455 x4  7 Er 3.47-3.62, 3 Pm 3.48-3.62, 2 Ho 3.49

Computed properties:
DOS(E_F), states/eV/cell: 38.61
Calculated formation energy, eV per atom: 0.01
Total energy, eV per cell: -110.22